{
  "formula": "LaPm4Sc",
  "functional": "PBE",
  "state": "optimized geometry",
  "lattice_angstrom": [[-4.062, 4.370, 1.994], [-0.903, 1.360, 6.075], [4.314, 4.137, -0.288]],
  "species": ["Pm", "Pm", "Pm", "Pm", "La", "Sc"],
  "frac_coords": [[0.665, 0.665, 0.001], [0.840, 0.840, 0.502], [0.335, 0.335, 0.999], [0.160, 0.160, 0.498], [0.500, 0.500, 0.500], [0.000, 0.000, 0.000]],
  "ef_ev_per_atom": 0.1280,
  "total_energy_ev_per_fu": -29.5,
  "de_polymorph_ev_per_fu": 0.53
}

=====

{
  "formula": "YbS2",
  "functional": "PBE",
  "state": "optimized geometry",
  "lattice_angstrom": [[2.129, 4.421, 0.018], [-2.129, 4.421, 0.018], [0.000, 4.023, 6.854]],
  "species": ["S", "S", "S", "S", "Yb", "Yb"],
  "frac_coords": [[0.480, 0.228, 0.024], [0.520, 0.772, 0.976], [0.228, 0.480, 0.524], [0.772, 0.520, 0.476], [0.875, 0.125, 0.250], [0.125, 0.875, 0.750]],
  "total_energy_ev_per_fu": -13.9,
  "formation_energy_uncorrected_mev_per_atom": -1362
}

=====

{
  "formula": "SrLa2Cu",
  "functional": "PBE",
  "state": "optimized geometry",
  "lattice_angstrom": [[-7.865, 0.031, 7.233], [-8.581, -3.390, 5.390], [-5.908, -3.233, 8.296]],
  "species": ["La", "La", "Cu", "Sr"],
  "frac_coords": [[0.258, 0.258, 0.258], [0.018, 0.018, 0.018], [0.745, 0.745, 0.745], [0.479, 0.479, 0.479]],
  "ef_ev_per_atom": 0.0938,
  "total_energy_ev_per_fu": -15.3,
  "de_polymorph_ev_per_fu": 0.37
}

=====

{
  "formula": "LaThRu2",
  "functional": "PBE",
  "state": "optimized geometry",
  "lattice_angstrom": [[3.549, 0.000, 0.000], [0.000, 3.549, 0.000], [0.000, 0.000, 7.208]],
  "species": ["La", "Th", "Ru", "Ru"],
  "frac_coords": [[0.500, 0.500, 0.500], [0.500, 0.500, 0.000], [0.000, 0.000, 0.776], [0.000, 0.000, 0.224]],
  "ef_ev_per_atom": -0.2781,
  "total_energy_ev_per_fu": -32.0
}

=====

{
  "formula": "Ba2AlNi",
  "functional": "PBE",
  "state": "optimized geometry",
  "lattice_angstrom": [[-2.490, -0.710, 8.957], [1.132, -3.048, 8.738], [1.355, 1.244, 9.140]],
  "species": ["Ba", "Ba", "Al", "Ni"],
  "frac_coords": [[0.515, 0.515, 0.515], [0.985, 0.985, 0.985], [0.750, 0.750, 0.750], [0.250, 0.250, 0.250]],
  "ef_ev_per_atom": 0.2627,
  "total_energy_ev_per_fu": -12.3
}

=====

{
  "formula": "KTaN2F",
  "functional": "PBE",
  "state": "optimized geometry",
  "lattice_angstrom": [[-0.454, -3.214, 2.455], [3.989, -0.763, -0.261], [0.709, 2.529, 3.442]],
  "species": ["Ta", "N", "N", "F", "K"],
  "frac_coords": [[0.000, 0.000, 0.000], [0.000, 0.500, 0.000], [0.500, 0.000, 0.000], [0.000, 0.000, 0.500], [0.500, 0.500, 0.500]],
  "total_energy_ev_per_fu": -36.9,
  "formation_energy_uncorrected_mev_per_atom": -1089,
  "de_polymorph_ev_per_fu": 0.00
}

=====

{
  "formula": "Pm3DyTh2N6",
  "functional": "PBE",
  "state": "optimized geometry",
  "lattice_angstrom": [[-0.748, -2.020, 2.907], [7.032, -0.290, 1.609], [-2.089, 7.423, 2.369]],
  "species": ["Pm", "Pm", "Pm", "N", "N", "N", "N", "N", "N", "Th", "Th", "Dy"],
  "frac_coords": [[0.836, 0.165, 0.673], [0.164, 0.835, 0.327], [0.500, 0.500, 0.000], [0.997, 0.756, 0.995], [0.332, 0.423, 0.664], [0.337, 0.913, 0.675], [0.663, 0.087, 0.325], [0.668, 0.577, 0.336], [0.003, 0.244, 0.005], [0.836, 0.672, 0.671], [0.164, 0.328, 0.329], [0.500, 0.000, 0.000]],
  "total_energy_ev_per_fu": -102.4,
  "formation_energy_uncorrected_mev_per_atom": -1561
}

=====

{
  "formula": "Ca3U2CuAs6",
  "functional": "PBE",
  "state": "optimized geometry",
  "lattice_angstrom": [[-0.557, -6.245, 3.310], [5.081, 4.568, 1.891], [-5.685, 3.334, 2.817]],
  "species": ["As", "As", "As", "As", "As", "As", "Ca", "Ca", "Ca", "Cu", "U", "U"],
  "frac_coords": [[0.074, 0.412, 0.223], [0.737, 0.737, 0.224], [0.412, 0.074, 0.223], [0.263, 0.263, 0.776], [0.588, 0.926, 0.777], [0.926, 0.588, 0.777], [0.836, 0.164, 0.500], [0.164, 0.836, 0.500], [0.500, 0.500, 0.500], [0.000, 0.000, 0.000], [0.333, 0.667, 0.000], [0.667, 0.333, 0.000]],
  "ef_ev_per_atom": -0.7259,
  "total_energy_ev_per_fu": -69.3
}